Below is a geometry-optimized Rb2Ho2SbS6 structure, with properties calculated at the PBE level.

total magnetic moment = 0.00 μB/cell
density of states at the Fermi level = 4.760 states/eV per cell
space group = C2/m (12)
ΔE_f (raw) = -1383.5 meV per atom

extended XYZ file:
```
11
Lattice="6.876 -0.014 0.062 -3.411 5.970 0.062 -1.234 -2.122 7.852" Properties=species:S:1:pos:R:3 pbc="T T T"
Rb 5.146 0.992 0.062
Rb -1.681 4.964 0.062
Ho -0.601 2.916 3.988
Ho 2.832 0.919 3.988
Sb -0.617 -1.061 3.926
S 1.715 2.949 5.470
S -1.742 0.861 5.412
S 0.515 0.886 2.506
S 1.609 -1.089 5.412
S 3.973 2.974 2.564
S 0.622 4.923 2.564
```

***

Below is a geometry-optimized RbHoSc4S8 structure, with properties calculated at the PBE level.

total magnetic moment = 0.00 μB/cell
density of states at the Fermi level = 0.000 states/eV per cell
space group = R3m (160)
ΔE_f (raw) = -1735.8 meV per atom

extended XYZ file:
```
14
Lattice="-6.084 0.849 -4.855 -0.528 -4.439 -6.429 -5.600 -5.793 -0.309" Properties=species:S:1:pos:R:3 pbc="T T T"
Rb -7.484 -6.556 -4.396
Ho -5.551 -5.725 -0.360
Sc -4.815 -2.943 -7.109
Sc -3.126 -5.091 -3.287
Sc -5.794 -2.551 -2.531
Sc -2.872 -2.959 -0.200
S -5.883 -7.506 -6.569
S -9.026 -4.515 -5.679
S -5.584 -4.995 -2.932
S -3.309 -2.692 -2.638
S -6.147 -1.888 -5.256
S -3.265 -4.630 -6.072
S -6.420 -4.190 -8.590
S -9.092 -6.946 -8.763
```

***

Below is a geometry-optimized Rb2HoScS4 structure, with properties calculated at the PBE level.

total magnetic moment = 0.00 μB/cell
density of states at the Fermi level = 0.000 states/eV per cell
space group = P2/m (10)
ΔE_f (raw) = -1775.3 meV per atom

extended XYZ file:
```
8
Lattice="-3.935 -0.481 0.240 -0.179 -1.843 -6.618 1.076 -6.692 4.212" Properties=species:S:1:pos:R:3 pbc="T T T"
Rb -1.429 -3.587 2.226
Rb 0.449 -4.267 -1.203
Ho -2.057 -1.162 -3.189
Sc 0.000 0.000 0.000
S -1.808 -1.880 -0.548
S -1.230 -7.136 -1.618
S 0.826 -5.906 1.694
S 0.071 -2.629 -4.100
```

***

Below is a geometry-optimized RbHoSeS structure, with properties calculated at the PBE level.

total magnetic moment = 0.00 μB/cell
density of states at the Fermi level = 0.000 states/eV per cell
space group = R3m (160)
ΔE_f (raw) = -1767.3 meV per atom

extended XYZ file:
```
4
Lattice="-1.752 -0.701 3.665 4.055 0.702 -0.246 -1.485 8.045 -1.490" Properties=species:S:1:pos:R:3 pbc="T T T"
Rb -0.691 2.544 2.912
Ho 0.419 7.092 -0.324
Se 3.575 1.103 0.039
S -1.283 5.217 0.823
```

***

Below is a geometry-optimized Rb3Sm2HoS6 structure, with properties calculated at the PBE level.

total magnetic moment = 0.00 μB/cell
density of states at the Fermi level = 0.000 states/eV per cell
space group = C2/m (12)
ΔE_f (raw) = -1841.7 meV per atom

extended XYZ file:
```
12
Lattice="-7.093 0.711 0.693 2.687 -4.630 -4.758 1.439 -4.222 6.718" Properties=species:S:1:pos:R:3 pbc="T T T"
Rb 1.768 -5.846 -0.485
Rb -4.734 -2.295 3.139
Rb -1.483 -4.071 1.327
Sm -0.574 -2.849 -2.940
Sm -3.832 -1.070 -1.124
Ho 0.000 0.000 0.000
S -3.839 -5.556 3.170
S -2.971 -3.711 -1.695
S 0.873 -2.585 -0.516
S -0.641 -7.302 1.387
S 0.005 -4.431 4.348
S -2.325 -0.839 1.266
```

***

Below is a geometry-optimized RbSmHo4S8 structure, with properties calculated at the PBE level.

total magnetic moment = 0.00 μB/cell
density of states at the Fermi level = 0.000 states/eV per cell
space group = R3m (160)
ΔE_f (raw) = -1895.5 meV per atom

extended XYZ file:
```
14
Lattice="-3.481 -0.984 7.392 -4.194 -6.876 1.691 3.174 -5.548 5.338" Properties=species:S:1:pos:R:3 pbc="T T T"
Rb -0.040 -7.833 8.101
Sm 3.090 -5.505 5.304
Ho -4.407 -5.602 6.341
Ho -0.454 -6.151 3.549
Ho -0.110 -3.308 6.299
Ho 1.569 -2.834 2.733
S -1.902 -9.780 6.965
S -1.497 -6.426 10.211
S 0.485 -5.866 6.002
S -0.777 -3.530 3.746
S -2.767 -3.774 7.357
S -3.140 -6.859 4.372
S -4.963 -7.374 8.242
S -3.495 -9.995 10.768
```

***

Below is a geometry-optimized Rb2Ho2SnS6 structure, with properties calculated at the PBE level.

total magnetic moment = 0.00 μB/cell
space group = C2/m (12)
ΔE_f (raw) = -1447.8 meV per atom

extended XYZ file:
```
11
Lattice="-1.178 -6.608 -1.171 4.091 3.498 -4.177 5.238 -0.851 6.319" Properties=species:S:1:pos:R:3 pbc="T T T"
Rb -0.284 -4.894 -1.680
Rb 3.198 1.785 -3.667
Ho 4.959 -0.287 -0.018
Ho 3.193 -3.674 0.989
Sn 2.619 -0.426 3.160
S 5.758 -2.906 0.324
S 5.091 0.337 2.657
S 2.394 -1.055 0.648
S 3.404 -2.899 3.619
S 3.061 -4.298 -1.685
S 4.748 -1.062 -2.648
```

***

Below is a geometry-optimized Rb3Ho3SnS8 structure, with properties calculated at the PBE level.

total magnetic moment = 0.00 μB/cell
space group = R-3m (166)
ΔE_f (raw) = -1556.6 meV per atom

extended XYZ file:
```
15
Lattice="-2.500 0.407 -7.548 -5.271 -0.948 5.894 3.670 8.295 -0.768" Properties=species:S:1:pos:R:3 pbc="T T T"
Rb 0.000 0.000 0.000
Rb -2.635 -0.474 2.947
Rb -3.885 -0.270 -0.827
Ho 0.585 4.351 -4.158
Ho -2.050 3.877 -1.211
Ho -0.800 3.674 2.563
Sn 1.835 4.148 -0.384
S -2.384 2.180 0.907
S -1.717 5.574 -3.330
S -3.728 2.399 -2.835
S -0.373 5.355 0.412
S -0.982 2.893 -5.906
S -3.119 4.861 3.483
S 0.321 2.681 -1.973
S -4.422 5.073 -0.450
```

***

Below is a geometry-optimized Rb2HoSnS4 structure, with properties calculated at the PBE level.

total magnetic moment = 0.00 μB/cell
density of states at the Fermi level = 8.100 states/eV per cell
space group = Fddd (70)
ΔE_f (raw) = -1075.7 meV per atom

extended XYZ file:
```
16
Lattice="-1.807 -6.264 1.834 5.140 -3.640 5.138 -7.033 1.364 10.233" Properties=species:S:1:pos:R:3 pbc="T T T"
Rb -4.783 -0.286 6.813
Rb -4.057 -4.613 5.254
Rb -4.552 -4.185 12.482
Rb -0.052 -7.486 5.641
Ho -2.302 -5.836 9.062
Ho 0.000 0.000 0.000
Sn -1.398 -2.704 8.144
Sn -0.904 -3.132 0.917
S 2.839 -4.617 5.737
S -5.628 -0.766 10.545
S -3.809 -7.360 14.924
S -0.802 -4.336 3.206
S 0.000 -4.859 8.463
S -3.707 -3.705 8.750
S -2.193 -7.015 11.343
S -1.500 -1.500 5.856
```

***

Below is a geometry-optimized Rb3SrHo2S6 structure, with properties calculated at the PBE level.

total magnetic moment = 0.00 μB/cell
density of states at the Fermi level = 12.462 states/eV per cell
space group = C2/m (12)
ΔE_f (raw) = -1660.3 meV per atom

extended XYZ file:
```
12
Lattice="7.227 -0.002 -0.002 -3.613 6.259 -0.002 -1.207 -2.091 7.691" Properties=species:S:1:pos:R:3 pbc="T T T"
Rb -2.460 4.199 3.844
Rb 4.867 -0.032 3.844
Rb 1.203 2.083 3.844
Sr 0.000 0.000 0.000
Ho -0.004 4.175 -0.002
Ho 3.618 2.083 -0.002
S 3.696 1.931 6.186
S 2.325 4.025 1.488
S -1.290 2.236 1.501
S -0.175 4.167 6.186
S 0.082 0.142 6.199
S 2.581 0.000 1.501
```

***

Below is a geometry-optimized Rb3Ho3TaS8 structure, with properties calculated at the PBE level.

total magnetic moment = 1.00 μB/cell
density of states at the Fermi level = 4.124 states/eV per cell
space group = R-3m (166)
ΔE_f (raw) = -1645.3 meV per atom

extended XYZ file:
```
15
Lattice="-2.852 6.626 3.074 -3.081 -2.903 -6.601 -2.127 -4.446 7.611" Properties=species:S:1:pos:R:3 pbc="T T T"
Rb 0.000 0.000 0.000
Rb -1.540 -1.452 -3.301
Rb -2.966 1.861 -1.764
Ho -2.489 1.090 5.342
Ho -4.029 -0.362 2.042
Ho -2.604 -3.675 0.505
Ta -1.063 -2.223 3.805
S -3.080 -1.148 -0.385
S -4.978 0.424 4.469
S -4.667 2.131 1.077
S -3.391 -2.854 3.007
S -3.018 3.687 4.615
S -5.041 -4.410 -0.531
S -1.490 0.136 2.967
S -6.569 -0.859 1.117
```

***

Below is a geometry-optimized RbTbHo4S8 structure, with properties calculated at the PBE level.

total magnetic moment = 0.00 μB/cell
density of states at the Fermi level = 0.000 states/eV per cell
space group = R3m (160)
ΔE_f (raw) = -1900.4 meV per atom

extended XYZ file:
```
14
Lattice="8.233 0.000 0.000 4.117 7.130 0.000 4.117 2.377 6.768" Properties=species:S:1:pos:R:3 pbc="T T T"
Rb 8.233 4.754 5.954
Tb 4.117 2.377 6.670
Ho 8.233 4.754 0.843
Ho 4.117 4.668 3.416
Ho 6.101 1.231 3.416
Ho 2.133 1.231 3.416
S 8.233 7.481 4.927
S 10.595 3.390 4.927
S 5.871 3.390 4.927
S 4.117 2.377 2.092
S 8.233 2.249 1.746
S 6.064 6.006 1.746
S 10.403 6.006 1.746
S 12.350 7.130 4.933
```

***

Below is a geometry-optimized Rb3Tb2HoS6 structure, with properties calculated at the PBE level.

total magnetic moment = 0.00 μB/cell
density of states at the Fermi level = 0.000 states/eV per cell
space group = C2/m (12)
ΔE_f (raw) = -1855.0 meV per atom

extended XYZ file:
```
12
Lattice="7.078 -0.002 0.001 -3.539 6.130 0.001 -1.180 -2.043 7.689" Properties=species:S:1:pos:R:3 pbc="T T T"
Rb -2.355 4.084 3.845
Rb 4.714 0.002 3.845
Rb 1.180 2.043 3.845
Tb 0.001 4.086 0.001
Tb 3.539 2.043 0.001
Ho 0.000 0.000 0.000
S 3.531 2.056 6.214
S 2.368 4.100 1.478
S -1.172 2.030 1.477
S 0.016 4.086 6.214
S -0.008 -0.014 6.212
S 2.344 0.000 1.477
```

***

Below is a geometry-optimized RbTb4HoS8 structure, with properties calculated at the PBE level.

total magnetic moment = 0.00 μB/cell
density of states at the Fermi level = 0.000 states/eV per cell
space group = R3m (160)
ΔE_f (raw) = -1905.4 meV per atom

extended XYZ file:
```
14
Lattice="8.310 0.000 0.000 4.155 7.197 0.000 4.155 2.399 6.743" Properties=species:S:1:pos:R:3 pbc="T T T"
Rb 8.310 4.798 5.874
Tb 8.310 4.798 0.846
Tb 4.155 4.709 3.402
Tb 6.156 1.244 3.402
Tb 2.154 1.244 3.402
Ho 4.155 2.399 6.654
S 8.310 7.570 4.949
S 10.711 3.411 4.949
S 5.909 3.411 4.949
S 4.155 2.399 2.059
S 8.310 2.254 1.727
S 6.107 6.070 1.727
S 10.513 6.070 1.727
S 12.465 7.197 4.911
```

***

Below is a geometry-optimized Rb4HoTh3S8 structure, with properties calculated at the PBE level.

total magnetic moment = 0.00 μB/cell
density of states at the Fermi level = 10.451 states/eV per cell
space group = R-3m (166)
ΔE_f (raw) = -1691.9 meV per atom

extended XYZ file:
```
16
Lattice="-4.941 6.470 1.169 -7.261 -5.205 -1.880 4.926 -2.562 6.069" Properties=species:S:1:pos:R:3 pbc="T T T"
Rb -2.470 3.235 0.585
Rb -0.007 1.954 3.619
Rb 0.000 0.000 0.000
Rb 2.463 -1.281 3.034
Ho -3.630 -2.602 -0.940
Th -6.101 0.632 -0.356
Th -3.638 -0.649 2.679
Th -1.167 -3.883 2.094
S -1.434 -4.630 4.834
S -3.942 -3.326 1.743
S -0.838 -1.177 2.971
S -3.950 -1.336 5.429
S -3.325 0.039 -0.072
S -6.437 -0.120 2.387
S -3.333 2.029 3.614
S -5.841 3.333 0.524
```

***

Below is a geometry-optimized Rb3HoTh2S6 structure, with properties calculated at the PBE level.

total magnetic moment = 0.00 μB/cell
density of states at the Fermi level = 7.106 states/eV per cell
space group = C2/m (12)
ΔE_f (raw) = -1707.8 meV per atom

extended XYZ file:
```
12
Lattice="-1.086 -2.196 6.685 6.227 -1.287 -3.202 1.053 7.915 1.507" Properties=species:S:1:pos:R:3 pbc="T T T"
Rb 5.532 2.518 -0.798
Rb 0.662 1.913 5.786
Rb 3.097 2.216 2.494
Ho 0.000 0.000 0.000
Th 3.789 -1.590 0.094
Th 1.352 -1.893 3.388
S 3.602 3.511 5.509
S 4.006 -0.998 2.871
S 2.592 0.920 -0.520
S 6.000 3.809 2.266
S 2.188 5.429 2.118
S 0.194 0.622 2.723
```

***

Below is a geometry-optimized Rb3Ho3TiS8 structure, with properties calculated at the PBE level.

total magnetic moment = 0.00 μB/cell
space group = R-3m (166)
ΔE_f (raw) = -1723.4 meV per atom

extended XYZ file:
```
15
Lattice="-1.042 1.865 7.550 2.209 -7.264 -1.978 6.384 6.369 -0.692" Properties=species:S:1:pos:R:3 pbc="T T T"
Rb 0.000 0.000 0.000
Rb 1.104 -3.632 -0.989
Rb 0.583 -2.700 2.786
Ho 2.671 4.117 3.429
Ho 3.775 0.485 2.440
Ho 4.296 -0.447 -1.335
Ti 3.192 3.185 -0.346
S 2.877 -1.448 0.755
S 4.674 2.418 4.125
S 2.495 -0.656 4.583
S 5.056 1.626 0.296
S 1.303 3.265 5.651
S 6.247 -2.295 -0.772
S 1.866 2.258 1.576
S 5.685 -1.288 3.303
```

***

Below is a geometry-optimized Rb3Ho2TiS6 structure, with properties calculated at the PBE level.

total magnetic moment = 1.00 μB/cell
density of states at the Fermi level = 5.914 states/eV per cell
space group = C2/m (12)
ΔE_f (raw) = -1627.4 meV per atom

extended XYZ file:
```
12
Lattice="-3.331 -5.777 1.556 6.804 -0.071 -0.761 -0.313 3.472 7.182" Properties=species:S:1:pos:R:3 pbc="T T T"
Rb 4.924 0.695 3.224
Rb -1.763 -3.070 4.753
Rb 1.580 -1.188 3.989
Ho 3.422 -1.975 0.012
Ho 0.052 -3.873 0.783
Ti 0.000 0.000 0.000
S 0.864 -2.637 6.831
S 2.540 -3.723 1.942
S 2.297 0.261 1.147
S 4.051 -0.843 6.102
S 0.621 1.347 6.035
S -0.890 -1.533 1.875
```

***

Below is a geometry-optimized RbHoTiS4 structure, with properties calculated at the PBE level.

total magnetic moment = 0.00 μB/cell
density of states at the Fermi level = 0.000 states/eV per cell
space group = P2_1/m (11)
ΔE_f (raw) = -1594.8 meV per atom

extended XYZ file:
```
14
Lattice="6.611 0.000 -0.113 0.000 6.812 0.000 -2.737 0.000 8.738" Properties=species:S:1:pos:R:3 pbc="T T T"
Rb 2.277 5.109 8.139
Rb 1.597 1.703 0.487
Ho 3.987 5.109 3.887
Ho -0.113 1.703 4.739
Ti 0.665 5.109 2.925
Ti 3.209 1.703 5.701
S -1.900 3.417 6.075
S 5.774 0.011 2.551
S 5.774 3.395 2.551
S -1.900 6.801 6.075
S 2.450 5.109 1.566
S 1.424 1.703 7.060
S 1.441 5.109 4.993
S 2.433 1.703 3.632
```

***

Below is a geometry-optimized Rb2HoTiS4 structure, with properties calculated at the PBE level.

total magnetic moment = 1.00 μB/cell
density of states at the Fermi level = 5.085 states/eV per cell
space group = I-4 (82)
ΔE_f (raw) = -1409.2 meV per atom

extended XYZ file:
```
8
Lattice="7.081 -0.134 -0.206 -3.139 6.349 0.206 -3.139 -2.367 5.895" Properties=species:S:1:pos:R:3 pbc="T T T"
Rb 0.402 4.103 1.525
Rb 0.000 0.000 0.000
Ho 0.402 -0.255 4.370
Ti -3.139 1.991 3.050
S 1.672 1.231 2.676
S -2.083 -0.022 3.692
S 4.344 2.946 0.788
S -2.325 3.541 4.635
```

***

Energy per entry: -55.20 -88.19 -43.56 -20.23 -63.78 -83.55 -55.78 -77.01 -71.26 -58.43 -86.19 -83.53 -63.77 -83.76 -90.80 -67.58 -83.40 -64.25 -82.23 -42.19 eV/cell